[1]
Sb2IrPb | PBE-GGA | relaxed

Cell and atoms, written as POSCAR:
```
Sb2IrPb
1.0
0.0000 3.6001 3.6001
3.6001 0.0000 3.6001
3.6001 3.6001 0.0000
Pb Sb Ir
1 2 1
Direct
0.7500 0.7500 0.7500 Pb
0.2500 0.2500 0.2500 Sb
0.0000 0.0000 0.0000 Sb
0.5000 0.5000 0.5000 Ir
```

## Properties
Spin magnetization, μB/f.u.: 0.014
Raw total energy, eV per atom: -4.690



[2]
HfB4Os | PBE-GGA | relaxed

Cell and atoms, written as POSCAR:
```
HfB4Os
1.0
-1.4843 -2.1506 -1.7943
3.0635 0.6407 -0.5021
1.6437 -4.6020 4.1562
B Os Hf
4 1 1
Direct
0.3333 0.6667 0.2396 B
0.6667 0.3333 0.2396 B
0.3333 0.6667 0.7604 B
0.6667 0.3333 0.7604 B
0.0000 0.0000 0.0000 Os
0.0000 0.0000 0.5000 Hf
```

## Properties
Spin magnetization, μB/f.u.: 0.227
Raw total energy, eV per atom: -8.230
E above lowest polymorph, eV/f.u.: 1.48



[3]
GdErLu2 | PBE-GGA | relaxed

Cell and atoms, written as POSCAR:
```
GdErLu2
1.0
3.5523 -6.1530 0.0000
3.5523 6.1530 0.0000
0.0000 0.0000 5.5382
Gd Lu Er
2 4 2
Direct
0.1665 0.8335 0.2500 Gd
0.8335 0.1665 0.7500 Gd
0.3340 0.1685 0.7500 Lu
0.8315 0.6660 0.7500 Lu
0.1685 0.3340 0.2500 Lu
0.6660 0.8315 0.2500 Lu
0.6657 0.3343 0.2500 Er
0.3343 0.6657 0.7500 Er
```

## Properties
Spin magnetization, μB/f.u.: 0.043
Raw total energy, eV per atom: -4.564
Energy of formation, eV per atom: 0.0019



[4]
UAgMo | PBE-GGA | relaxed

Cell and atoms, written as POSCAR:
```
UAgMo
1.0
2.1546 -1.5529 3.6488
-2.3433 -1.8240 3.3984
0.2249 -4.4415 0.7678
U Ag Mo
1 1 1
Direct
0.7500 0.7500 0.7500 U
0.2500 0.2500 0.2500 Ag
0.0000 0.0000 0.0000 Mo
```

## Properties
Spin magnetization, μB/f.u.: 0.940
Raw total energy, eV per atom: -7.345
E above lowest polymorph, eV/f.u.: 0.00
Energy of formation, eV per atom: 0.9778



[5]
AcReAs | PBE-GGA | relaxed

Cell and atoms, written as POSCAR:
```
AcReAs
1.0
-2.7855 -3.8309 -0.7585
-2.2501 -2.0960 3.6816
-4.7631 0.3753 0.4277
As Re Ac
1 1 1
Direct
0.0000 0.0000 0.0000 As
0.7500 0.7500 0.7500 Re
0.2500 0.2500 0.2500 Ac
```

## Properties
Spin magnetization, μB/f.u.: 1.242
Raw total energy, eV per atom: -6.448
E above lowest polymorph, eV/f.u.: 0.00



[6]
Sc2CdSb | PBE-GGA | relaxed

Cell and atoms, written as POSCAR:
```
Sc2CdSb
1.0
0.0000 3.6089 3.6089
3.6089 0.0000 3.6089
3.6089 3.6089 0.0000
Sb Sc Cd
1 2 1
Direct
0.5000 0.5000 0.5000 Sb
0.0000 0.0000 0.0000 Sc
0.7500 0.7500 0.7500 Sc
0.2500 0.2500 0.2500 Cd
```

## Properties
Spin magnetization, μB/f.u.: 0.643
Raw total energy, eV per atom: -4.422



[7]
Nd4Re2O11 | PBE-GGA | relaxed

Cell and atoms, written as POSCAR:
```
Nd4Re2O11
1.0
12.6730 0.0000 0.0000
0.0000 12.6730 0.0000
0.0000 0.0000 5.6058
O Re Nd
44 8 16
Direct
0.2928 0.8793 0.0405 O
0.5580 0.2807 0.0453 O
0.7038 0.5921 0.4434 O
0.1022 0.4473 0.2583 O
0.7193 0.5580 0.9547 O
0.7072 0.1207 0.0405 O
0.7496 0.3428 0.9466 O
0.1572 0.2496 0.4466 O
0.5527 0.1022 0.7417 O
0.4079 0.7038 0.5566 O
0.6022 0.9473 0.2417 O
0.7928 0.3793 0.4595 O
0.9420 0.2193 0.4547 O
0.8978 0.5527 0.2583 O
0.7807 0.9420 0.5453 O
0.6572 0.7496 0.0534 O
0.5000 0.5000 0.5000 O
0.8793 0.7072 0.9595 O
0.0000 0.0000 0.5000 O
0.3793 0.2072 0.5405 O
0.5921 0.2962 0.5566 O
0.2072 0.6207 0.4595 O
0.2193 0.0580 0.5453 O
0.0000 0.0000 0.0000 O
0.3978 0.0527 0.2417 O
0.0921 0.7962 0.9434 O
0.9079 0.2038 0.9434 O
0.4420 0.7193 0.0453 O
0.0527 0.6022 0.7583 O
0.8428 0.7504 0.4466 O
0.7962 0.9079 0.0566 O
0.2038 0.0921 0.0566 O
0.7504 0.1572 0.5534 O
0.5000 0.5000 0.0000 O
0.1207 0.2928 0.9595 O
0.6207 0.7928 0.5405 O
0.0580 0.7807 0.4547 O
0.2807 0.4420 0.9547 O
0.9473 0.3978 0.7583 O
0.4473 0.8978 0.7417 O
0.2962 0.4079 0.4434 O
0.2504 0.6572 0.9466 O
0.3428 0.2504 0.0534 O
0.2496 0.8428 0.5534 O
0.7738 0.6637 0.1800 Re
0.2262 0.3363 0.1800 Re
0.7262 0.8363 0.3200 Re
0.3363 0.7738 0.8200 Re
0.2738 0.1637 0.3200 Re
0.8363 0.2738 0.6800 Re
0.6637 0.2262 0.8200 Re
0.1637 0.7262 0.6800 Re
0.3680 0.5651 0.2483 Nd
0.0568 0.6387 0.1787 Nd
0.6387 0.9432 0.8213 Nd
0.1387 0.4432 0.6787 Nd
0.8613 0.5568 0.6787 Nd
0.1320 0.9349 0.2517 Nd
0.5651 0.6320 0.7517 Nd
0.8680 0.0651 0.2517 Nd
0.5568 0.1387 0.3213 Nd
0.6320 0.4349 0.2483 Nd
0.4432 0.8613 0.3213 Nd
0.4349 0.3680 0.7517 Nd
0.0651 0.1320 0.7483 Nd
0.9349 0.8680 0.7483 Nd
0.3613 0.0568 0.8213 Nd
0.9432 0.3613 0.1787 Nd
```

## Properties
Spin magnetization, μB/f.u.: 0.001
Raw total energy, eV per atom: -8.475



[8]
Lu3TlN2 | PBE-GGA | relaxed

Cell and atoms, written as POSCAR:
```
Lu3TlN2
1.0
3.4014 0.0000 0.0000
-1.7007 2.9457 0.0000
0.0000 0.0000 20.7905
N Lu Tl
4 6 2
Direct
0.6667 0.3333 0.5678 N
0.3333 0.6667 0.0678 N
0.6667 0.3333 0.9322 N
0.3333 0.6667 0.4322 N
0.0000 0.0000 0.0000 Lu
0.6667 0.3333 0.3738 Lu
0.6667 0.3333 0.1262 Lu
0.0000 0.0000 0.5000 Lu
0.3333 0.6667 0.6262 Lu
0.3333 0.6667 0.8738 Lu
0.0000 0.0000 0.2500 Tl
0.0000 0.0000 0.7500 Tl
```

## Properties
Spin magnetization, μB/f.u.: 0.001
Raw total energy, eV per atom: -6.776



Q: Which value of spin magnetization does entry 7 give?
A: 0.001 μB/f.u.



Repeat the fourth record exactly.
UAgMo | PBE-GGA | relaxed

Cell and atoms, written as POSCAR:
```
UAgMo
1.0
2.1546 -1.5529 3.6488
-2.3433 -1.8240 3.3984
0.2249 -4.4415 0.7678
U Ag Mo
1 1 1
Direct
0.7500 0.7500 0.7500 U
0.2500 0.2500 0.2500 Ag
0.0000 0.0000 0.0000 Mo
```

## Properties
Spin magnetization, μB/f.u.: 0.940
Raw total energy, eV per atom: -7.345
E above lowest polymorph, eV/f.u.: 0.00
Energy of formation, eV per atom: 0.9778



What did the fifth record say?
AcReAs | PBE-GGA | relaxed

Cell and atoms, written as POSCAR:
```
AcReAs
1.0
-2.7855 -3.8309 -0.7585
-2.2501 -2.0960 3.6816
-4.7631 0.3753 0.4277
As Re Ac
1 1 1
Direct
0.0000 0.0000 0.0000 As
0.7500 0.7500 0.7500 Re
0.2500 0.2500 0.2500 Ac
```

## Properties
Spin magnetization, μB/f.u.: 1.242
Raw total energy, eV per atom: -6.448
E above lowest polymorph, eV/f.u.: 0.00



Q: raw total energy of number 7 (Nd4Re2O11)?
A: -8.475 eV per atom